VASP calculation (PBE) on a geometry-optimized Mg5Si6 structure.

Unit cell a=15.226 b=15.226 c=6.628 alpha=83.42 beta=83.42 gamma=15.50
Atoms (fractional coordinates):
Mg 0.325 0.325 0.683
Si 0.235 0.235 0.886
Mg 0.785 0.785 0.029
Mg 0.576 0.576 0.524
Si 0.930 0.930 0.082
Si 0.142 0.142 0.370
Si 0.594 0.594 0.922
Si 0.809 0.809 0.412
Mg 0.439 0.439 0.764
Si 0.527 0.527 0.176
Mg 0.355 0.355 0.171
Mg 0.241 0.241 0.338
Si 0.871 0.871 0.868
Si 0.676 0.676 0.480
Si 0.889 0.889 0.487
Si 0.743 0.743 0.667
Mg 0.147 0.147 0.770
Mg 0.017 0.017 0.873
Mg 0.993 0.993 0.428
Si 0.432 0.432 0.337
Si 0.083 0.083 0.152
Mg 0.677 0.677 0.076

VASP energy ... -3.59 eV/atom
Raw formation energy ... 0.093 eV per atom
Energy above the lowest structure with this stoichiometry ... 0.068 eV per atom

VASP calculation (PBE) on a geometry-optimized LaSeBr2 structure.

Unit cell a=10.652 b=10.652 c=10.652 alpha=22.19 beta=22.19 gamma=22.19
Last column: magnetic moment on the atom in μB.
Atoms (fractional coordinates):
Br 0.893 0.893 0.893  0.01
La 0.500 0.500 0.500  -0.15
Se 0.000 0.000 0.000  0.98
Br 0.107 0.107 0.107  0.01

VASP energy ... -3.77 eV/atom
Raw formation energy ... -0.826 eV per atom
Energy above the lowest structure with this stoichiometry ... 0.640 eV per atom

VASP calculation (PBE) on a geometry-optimized AcTb2Zn2Ge2 structure.

Unit cell a=4.210 b=4.210 c=11.909 alpha=79.82 beta=79.82 gamma=60.00
Atoms (fractional coordinates):
Ge 0.260 0.260 0.220
Zn 0.602 0.602 0.194
Tb 0.126 0.126 0.623
Ge 0.740 0.740 0.780
Ac 0.000 0.000 0.000
Tb 0.874 0.874 0.377
Zn 0.398 0.398 0.806

VASP energy ... -4.03 eV/atom
Energy of formation ... -0.44 eV/atom

VASP calculation (PBE) on a geometry-optimized Y3Er5Th structure.

Unit cell a=6.933 b=9.678 c=9.678 alpha=120.00 beta=90.00 gamma=90.00
Atoms (fractional coordinates):
Y 0.750 0.666 0.666
Th 0.500 0.000 0.000
Er 0.750 0.000 0.667
Er 0.250 0.333 0.000
Er 0.250 0.667 0.667
Er 0.500 0.333 0.667
Th 0.000 0.000 0.000
Er 0.500 0.667 0.333
Y 0.750 0.000 0.334
Y 0.250 0.334 0.334
Er 0.000 0.667 0.333
Y 0.750 0.334 0.000
Y 0.250 0.000 0.666
Er 0.000 0.333 0.667
Er 0.750 0.667 0.000
Y 0.250 0.666 0.000
Er 0.250 0.000 0.333
Er 0.750 0.333 0.333

VASP energy ... -5.45 eV/atom
Energy of formation ... 0.07 eV/atom